Na2SrRuO4 | PBE-GGA | relaxed

The structure belongs to space group Imma (No. 74); the cell edges are 6.5980, 8.3822 and 8.3020 Å and the angles 90.00°, 90.00° and 90.00°. The inequivalent atoms are Na at (0.0000, 0.0000, 0.0000), Na at (0.2500, 0.2500, 0.2500), Sr at (0.0000, 0.0000, 0.5000), Ru at (0.2500, 0.2500, 0.7500), O at (0.2355, 0.2500, 0.5181) and O at (0.2500, 0.0193, 0.7500).

Its formation energy from raw total energies is -1.56 eV per atom. The size of the total moment is 11.0 μB/cell. The density of states at the Fermi level comes out at 12.03 states/eV/cell. Its crystal system is orthorhombic.

---

Na2SrRu2O7 | PBE-GGA | relaxed

The structure belongs to space group Immm (No. 71); the cell edges are 3.9183, 4.0200 and 19.7149 Å and the angles 90.00°, 90.00° and 90.00°. The inequivalent atoms are Na at (0.0000, 0.0000, 0.2432), Sr at (0.0000, 0.5000, 0.5000), Ru at (0.0000, 0.5000, 0.1035), O at (0.0000, 0.0000, 0.0935), O at (0.0000, 0.0000, 0.4032), O at (0.0000, 0.5000, 0.0000) and O at (0.0000, 0.5000, 0.1989).

Its formation energy from raw total energies is -1.38 eV per atom. The size of the total moment is 8.8 μB/cell. The density of states at the Fermi level comes out at 13.40 states/eV/cell. Its crystal system is orthorhombic.

---

NaSrRuO4 | PBE-GGA | relaxed

The structure belongs to space group I4mm (No. 107); the cell edges are 3.9163, 3.9163 and 12.4718 Å and the angles 90.00°, 90.00° and 90.00°. The inequivalent atoms are Na at (0.0000, 0.0000, 0.0000), Sr at (0.0000, 0.0000, 0.2973), Ru at (0.0000, 0.0000, 0.6446), O at (0.0000, 0.0000, 0.4924), O at (0.0000, 0.0000, 0.8073) and O at (0.0000, 0.5000, 0.1535).

Its formation energy from raw total energies is -1.65 eV per atom. The size of the total moment is 5.0 μB/cell. The density of states at the Fermi level comes out at 4.31 states/eV/cell. Its crystal system is tetragonal.

---

Na2TaRuO6 | PBE-GGA | relaxed

The structure belongs to space group P4/mmm (No. 123); the cell edges are 5.5622, 5.5622 and 3.9044 Å and the angles 90.00°, 90.00° and 90.00°. The inequivalent atoms are Na at (0.0000, 0.5000, 0.0000), Ta at (0.0000, 0.0000, 0.5000), Ru at (0.5000, 0.5000, 0.5000), O at (0.0000, 0.0000, 0.0000), O at (0.2513, 0.2513, 0.5000) and O at (0.5000, 0.5000, 0.0000).

Its formation energy from raw total energies is -1.87 eV per atom. The size of the total moment is 0.3 μB/cell. The density of states at the Fermi level comes out at 2.18 states/eV/cell. Its crystal system is tetragonal.

---

Na4Tb3RuO8 | PBE-GGA | relaxed

The structure belongs to space group R-3m (No. 166, hexagonal axes); the cell edges are 6.6831, 6.6831 and 16.7621 Å and the angles 90.00°, 90.00° and 120.00°. The inequivalent atoms are Na at (0.0000, 0.0000, 0.0000), Na at (0.0000, 0.5000, 0.0000), Tb at (0.0000, 0.5000, 0.5000), Ru at (0.0000, 0.0000, 0.5000), O at (0.0000, 0.0000, 0.2380) and O at (0.0142, 0.5071, 0.2382).

Its formation energy from raw total energies is -2.30 eV per atom. The size of the total moment is 3.0 μB/cell. The density of states at the Fermi level comes out at 24.37 states/eV/cell. Its crystal system is trigonal.

---

Na3Tb2RuO6 | PBE-GGA | relaxed

The structure belongs to space group C2/m (No. 12); the cell edges are 5.7462, 9.8302 and 5.9074 Å and the angles 90.00°, 108.31° and 90.00°. The inequivalent atoms are Na at (0.0000, 0.0000, 0.0000), Na at (0.0000, 0.3430, 0.0000), Tb at (0.0000, 0.1699, 0.5000), Ru at (0.0000, 0.5000, 0.5000), O at (0.2336, 0.3420, 0.7189) and O at (0.2432, 0.5000, 0.2921).

Its formation energy from raw total energies is -2.16 eV per atom. The size of the total moment is 2.0 μB/cell. The density of states at the Fermi level comes out at 15.20 states/eV/cell. Its crystal system is monoclinic.

---

Na3Tb3RuO8 | PBE-GGA | relaxed

The structure belongs to space group R-3m (No. 166, hexagonal axes); the cell edges are 6.7242, 6.7242 and 16.6880 Å and the angles 90.00°, 90.00° and 120.00°. The inequivalent atoms are Na at (0.0000, 0.5000, 0.0000), Tb at (0.0000, 0.5000, 0.5000), Ru at (0.0000, 0.0000, 0.5000), O at (0.0000, 0.0000, 0.2373) and O at (0.0301, 0.5150, 0.2332).

Its formation energy from raw total energies is -2.38 eV per atom. The size of the total moment is 6.0 μB/cell. The density of states at the Fermi level comes out at 19.06 states/eV/cell. Its crystal system is trigonal.

---

NaTb2RuO5 | PBE-GGA | relaxed

The structure belongs to space group P4/mbm (No. 127); the cell edges are 6.6046, 6.6046 and 5.7450 Å and the angles 90.00°, 90.00° and 90.00°. The inequivalent atoms are Na at (0.0000, 0.0000, 0.0000), Tb at (0.1770, 0.3230, 0.5000), Ru at (0.0000, 0.5000, 0.0000), O at (0.0000, 0.0000, 0.5000) and O at (0.1377, 0.6377, 0.2531).

Its formation energy from raw total energies is -2.33 eV per atom. The size of the total moment is 6.0 μB/cell. Its crystal system is tetragonal.

---

Na2Tb2RuO6 | PBE-GGA | relaxed

The structure belongs to space group C2/m (No. 12); the cell edges are 5.7636, 9.9740 and 5.8806 Å and the angles 90.00°, 104.81° and 90.00°. The inequivalent atoms are Na at (0.0000, 0.1444, 0.0000), Tb at (0.0000, 0.3372, 0.5000), Ru at (0.0000, 0.0000, 0.5000), O at (0.1973, 0.1556, 0.6920) and O at (0.2473, 0.0000, 0.2977).

Its formation energy from raw total energies is -2.21 eV per atom. The size of the total moment is 4.0 μB/cell. The density of states at the Fermi level comes out at 12.30 states/eV/cell. Its crystal system is monoclinic.

---

NaTc2RuO8 | PBE-GGA | relaxed

The structure belongs to space group P-3m1 (No. 164); the cell edges are 5.7222, 5.7222 and 6.5080 Å and the angles 90.00°, 90.00° and 120.00°. The inequivalent atoms are Na at (0.0000, 0.0000, 0.0000), Tc at (0.3333, 0.6667, 0.7723), Ru at (0.0000, 0.0000, 0.5000), O at (0.1603, 0.3207, 0.6880) and O at (0.3333, 0.6667, 0.0392).

Its formation energy from raw total energies is -1.29 eV per atom. The size of the total moment is 0.2 μB/cell. The density of states at the Fermi level comes out at 6.07 states/eV/cell. Its crystal system is trigonal.

---

Na2TcRuO6 | PBE-GGA | relaxed

The structure belongs to space group P4/mmm (No. 123); the cell edges are 5.4689, 5.4689 and 3.8847 Å and the angles 90.00°, 90.00° and 90.00°. The inequivalent atoms are Na at (0.0000, 0.5000, 0.0000), Tc at (0.0000, 0.0000, 0.5000), Ru at (0.5000, 0.5000, 0.5000), O at (0.0000, 0.0000, 0.0000), O at (0.2467, 0.2467, 0.5000) and O at (0.5000, 0.5000, 0.0000).

Its formation energy from raw total energies is -1.35 eV per atom. The size of the total moment is 0.9 μB/cell. The density of states at the Fermi level comes out at 3.04 states/eV/cell. Its crystal system is tetragonal.

---

NaTcRuO6 | PBE-GGA | relaxed

The structure belongs to space group P312 (No. 149); the cell edges are 5.2788, 5.2788 and 5.0570 Å and the angles 90.00°, 90.00° and 120.00°. The inequivalent atoms are Na at (0.0000, 0.0000, 0.0000), Tc at (0.3333, 0.6667, 0.5000), Ru at (0.6667, 0.3333, 0.5000) and O at (0.0059, 0.3856, 0.7051).

Its formation energy from raw total energies is -1.21 eV per atom. The size of the total moment is 1.9 μB/cell. The density of states at the Fermi level comes out at 3.50 states/eV/cell. Its crystal system is trigonal.

---

Repeat the seventh record exactly.
Na3Tb3RuO8 | PBE-GGA | relaxed

The structure belongs to space group R-3m (No. 166, hexagonal axes); the cell edges are 6.7242, 6.7242 and 16.6880 Å and the angles 90.00°, 90.00° and 120.00°. The inequivalent atoms are Na at (0.0000, 0.5000, 0.0000), Tb at (0.0000, 0.5000, 0.5000), Ru at (0.0000, 0.0000, 0.5000), O at (0.0000, 0.0000, 0.2373) and O at (0.0301, 0.5150, 0.2332).

Its formation energy from raw total energies is -2.38 eV per atom. The size of the total moment is 6.0 μB/cell. The density of states at the Fermi level comes out at 19.06 states/eV/cell. Its crystal system is trigonal.